Record 1
{
  "formula": "ZrMn3Ag",
  "functional": "GGA-PBEsol",
  "state": "optimized geometry",
  "lattice": [[4.7053, 0.0000, 0.0000], [0.0000, 4.7053, 0.0000], [0.0000, 0.0000, 4.7053]],
  "species": ["Zr", "Mn", "Mn", "Mn", "Ag"],
  "fractional_positions": [[0.0000, 0.0000, 0.0000], [0.0000, 0.5000, 0.5000], [0.5000, 0.0000, 0.5000], [0.5000, 0.5000, 0.0000], [0.5000, 0.5000, 0.5000]],
  "magnetic_moment_mub_per_atom": 2.1142,
  "delta_e_f_ev_per_atom": 1.36,
  "total_energy_ev_per_atom": -6.97
}

Record 2
{
  "formula": "ZrMnAg2",
  "functional": "GGA-PBEsol",
  "state": "optimized geometry",
  "lattice": [[-1.9412, 1.9412, 4.3558], [1.9412, -1.9412, 4.3558], [1.9412, 1.9412, -4.3558]],
  "species": ["Zr", "Mn", "Ag", "Ag"],
  "fractional_positions": [[0.0000, 0.0000, 0.0000], [0.5000, 0.5000, 0.0000], [0.2500, 0.7500, 0.5000], [0.7500, 0.2500, 0.5000]],
  "magnetic_moment_mub_per_atom": 0.5246,
  "delta_e_f_ev_per_atom": 0.11,
  "total_energy_ev_per_atom": -6.26
}

Record 3
{
  "formula": "ZrMnAg2",
  "functional": "GGA-PBEsol",
  "state": "optimized geometry",
  "lattice": [[2.7314, -4.2610, 0.0000], [2.7314, 4.2610, 0.0000], [0.0000, 0.0000, 2.9183]],
  "species": ["Zr", "Mn", "Ag", "Ag"],
  "fractional_positions": [[0.0000, 0.0000, 0.0000], [0.5000, 0.5000, 0.0000], [0.0000, 0.5000, 0.5000], [0.5000, 0.0000, 0.5000]],
  "magnetic_moment_mub_per_atom": 0.7352,
  "delta_e_f_ev_per_atom": 0.24,
  "total_energy_ev_per_atom": -6.13
}

Record 4
{
  "formula": "AgMo",
  "functional": "GGA-PBEsol",
  "state": "optimized geometry",
  "lattice": [[2.7551, 0.0000, 0.0000], [-1.3775, 2.3859, 0.0000], [0.0000, 0.0000, 9.6789]],
  "species": ["Ag", "Ag", "Mo", "Mo"],
  "fractional_positions": [[0.3333, 0.6667, 0.3743], [0.6667, 0.3333, 0.6257], [0.3333, 0.6667, 0.8779], [0.6667, 0.3333, 0.1221]],
  "relative_energy_mev_per_atom": 9,
  "magnetic_moment_mub_per_atom": 0.0001,
  "delta_e_f_ev_per_atom": 0.37,
  "total_energy_ev_per_atom": -7.17
}

Record 5
{
  "formula": "Ag5Mo",
  "functional": "GGA-PBEsol",
  "state": "optimized geometry",
  "lattice": [[5.2700, 0.0000, 0.0000], [-2.6350, 4.5640, 0.0000], [0.0000, 0.0000, 4.6134]],
  "species": ["Ag", "Ag", "Ag", "Ag", "Ag", "Mo"],
  "fractional_positions": [[0.0000, 0.5000, 0.0000], [0.3333, 0.6667, 0.5000], [0.5000, 0.0000, 0.0000], [0.5000, 0.5000, 0.0000], [0.6667, 0.3333, 0.5000], [0.0000, 0.0000, 0.5000]],
  "magnetic_moment_mub_per_atom": 0.5858,
  "delta_e_f_ev_per_atom": 0.73,
  "total_energy_ev_per_atom": -3.99
}

Record 6
{
  "formula": "AgMo",
  "functional": "GGA-PBEsol",
  "state": "optimized geometry",
  "lattice": [[2.6743, 0.0000, 0.0000], [0.0000, 2.6743, 0.0000], [0.0000, 0.0000, 8.8175]],
  "species": ["Ag", "Ag", "Mo", "Mo"],
  "fractional_positions": [[0.2500, 0.2500, 0.1258], [0.7500, 0.7500, 0.8742], [0.2500, 0.2500, 0.6258], [0.7500, 0.7500, 0.3742]],
  "relative_energy_mev_per_atom": 0,
  "magnetic_moment_mub_per_atom": 0.0000,
  "delta_e_f_ev_per_atom": 0.36,
  "total_energy_ev_per_atom": -7.18
}